#1
First-principles (PBE) data for LiSIN2 after structural relaxation, as listed in Alexandria via LeMat-Bulk.

The space group is P4/mmm (No. 123) and the conventional cell measures 4.075, 4.075 and 6.384 Å, with angles of 90.00, 90.00 and 90.00 degrees. Symmetry generates all atoms from Li at (0.000, 0.000, 0.000), S at (0.500, 0.500, 0.500), I at (0.000, 0.000, 0.500) and N at (0.000, 0.500, 0.000).

As for the crystal system: tetragonal. Its density of states at the Fermi level is 3.66 states/eV per cell.



#2
First-principles (PBE) data for LiSIN2 after structural relaxation, as listed in Alexandria via LeMat-Bulk.

The space group is P4/mmm (No. 123) and the conventional cell measures 4.011, 4.011 and 5.328 Å, with angles of 90.00, 90.00 and 90.00 degrees. Symmetry generates all atoms from Li at (0.000, 0.000, 0.000), S at (0.500, 0.500, 0.000), I at (0.500, 0.500, 0.500) and N at (0.000, 0.500, 0.500).

As for the crystal system: tetragonal. Its density of states at the Fermi level is 4.06 states/eV per cell.



Which of them is the most stable? Correct choice: #2.



#1
First-principles (PBE) data for LiSe2IN after structural relaxation, as listed in Alexandria via LeMat-Bulk.

The space group is P4/mmm (No. 123) and the conventional cell measures 5.042, 5.042 and 3.962 Å, with angles of 90.00, 90.00 and 90.00 degrees. Symmetry generates all atoms from Li at (0.000, 0.000, 0.000), Se at (0.000, 0.500, 0.000), I at (0.500, 0.500, 0.500) and N at (0.000, 0.000, 0.500).

As for the crystal system: tetragonal. Its density of states at the Fermi level is 3.64 states/eV per cell.



#2
First-principles (PBE) data for LiSe2IN after structural relaxation, as listed in Alexandria via LeMat-Bulk.

The space group is P4/mmm (No. 123) and the conventional cell measures 5.578, 5.578 and 4.001 Å, with angles of 90.00, 90.00 and 90.00 degrees. Symmetry generates all atoms from Li at (0.000, 0.000, 0.000), Se at (0.000, 0.500, 0.500), I at (0.500, 0.500, 0.500) and N at (0.500, 0.500, 0.000).

As for the crystal system: tetragonal. Its density of states at the Fermi level is 4.32 states/eV per cell.



Which of them is the most stable? Correct choice: #2.



#1
First-principles (PBE) data for LiSiIN2 after structural relaxation, as listed in Alexandria via LeMat-Bulk.

The space group is P4/mmm (No. 123) and the conventional cell measures 3.538, 3.538 and 7.005 Å, with angles of 90.00, 90.00 and 90.00 degrees. Symmetry generates all atoms from Li at (0.000, 0.000, 0.000), Si at (0.500, 0.500, 0.500), I at (0.500, 0.500, 0.000) and N at (0.000, 0.500, 0.500).

As for the crystal system: tetragonal. Its density of states at the Fermi level is 1.84 states/eV per cell.



#2
First-principles (PBE) data for LiSiIN2 after structural relaxation, as listed in Alexandria via LeMat-Bulk.

The space group is P4/mmm (No. 123) and the conventional cell measures 4.163, 4.163 and 5.250 Å, with angles of 90.00, 90.00 and 90.00 degrees. Symmetry generates all atoms from Li at (0.000, 0.000, 0.000), Si at (0.500, 0.500, 0.500), I at (0.000, 0.000, 0.500) and N at (0.000, 0.500, 0.000).

As for the crystal system: tetragonal. Its density of states at the Fermi level is 1.56 states/eV per cell.



Which of them is the most stable? Correct choice: #1.



#1
First-principles (PBE) data for LiSnI2N after structural relaxation, as listed in Alexandria via LeMat-Bulk.

The space group is P4/mmm (No. 123) and the conventional cell measures 5.676, 5.676 and 4.042 Å, with angles of 90.00, 90.00 and 90.00 degrees. Symmetry generates all atoms from Li at (0.000, 0.000, 0.000), Sn at (0.500, 0.500, 0.500), I at (0.000, 0.500, 0.000) and N at (0.000, 0.000, 0.500).

As for the crystal system: tetragonal. Its density of states at the Fermi level is 1.44 states/eV per cell.



#2
First-principles (PBE) data for LiSnI2N after structural relaxation, as listed in Alexandria via LeMat-Bulk.

The space group is P4/mmm (No. 123) and the conventional cell measures 6.157, 6.157 and 3.938 Å, with angles of 90.00, 90.00 and 90.00 degrees. Symmetry generates all atoms from Li at (0.000, 0.000, 0.000), Sn at (0.500, 0.500, 0.500), I at (0.000, 0.500, 0.500) and N at (0.500, 0.500, 0.000).

As for the crystal system: tetragonal. Its density of states at the Fermi level is 2.12 states/eV per cell.



Which of them is the most stable? Correct choice: #2.